(1)
ZrURe, optimized geometry, DFT GGA-PBE; crystal system = cubic; energy of formation from the pure elements = 86 kJ/mol of atoms; total magnetic moment = 0.0 μB/cell
1.0
0.000 3.182 3.182
3.182 0.000 3.182
3.182 3.182 0.000
Zr U Re
1 1 1
Direct
0.000 0.000 0.000
0.750 0.750 0.750
0.500 0.500 0.500

=====

(2)
ZrURe, optimized geometry, DFT GGA-PBE; crystal system = cubic; energy of formation from the pure elements = 35 kJ/mol of atoms; total magnetic moment = 2.4 μB/cell
1.0
0.000 3.272 3.272
3.272 0.000 3.272
3.272 3.272 0.000
Zr U Re
1 1 1
Direct
0.000 0.000 0.000
0.500 0.500 0.500
0.250 0.250 0.250